Computed, not measured: an optimized crystal structure of Li2PaSbN4 at the PBE level of DFT.

Calculated values
**Calculated volume**: 12.724 Å³ per atom
**Energy relative to the elements, uncorrected**: -0.504 eV/atom
**Magnetization**: 0.0 μB per cell
**Space-group type**: P2/m, No. 10
**ρ**: 6.90 Mg/m³
**Crystal system**: monoclinic

Geometry as POSCAR:
```
Li2PaSbN4
1.0
5.5683 0.0000 0.0000
0.0000 3.3984 0.0000
-1.8347 0.0000 5.3791
Li Pa Sb N
2 1 1 4
Direct
0.0000 0.0000 0.0000
0.0000 0.5000 0.5000
0.5000 0.0000 0.5000
0.5000 0.5000 0.0000
0.2739 0.0000 0.7849
0.2831 0.5000 0.2666
0.7169 0.5000 0.7334
0.7261 0.0000 0.2151
```



Computed, not measured: an optimized crystal structure of LiScPaN3 at the PBE level of DFT.

Calculated values
**Calculated volume**: 12.240 Å³ per atom
**Energy relative to the elements, uncorrected**: -1.313 eV/atom
**Magnetization**: 0.0 μB per cell
**Space-group type**: P2_1/m, No. 11
**ρ**: 7.35 Mg/m³
**Crystal system**: monoclinic

Geometry as POSCAR:
```
LiScPaN3
1.0
6.6904 0.0000 0.0000
0.0000 3.2516 0.0000
-1.6461 0.0000 6.7518
Li Sc Pa N
2 2 2 6
Direct
0.0935 0.2500 0.0897
0.9065 0.7500 0.9103
0.3288 0.7500 0.3399
0.6712 0.2500 0.6601
0.2746 0.7500 0.8031
0.7254 0.2500 0.1969
0.0246 0.2500 0.8011
0.3352 0.2500 0.5752
0.3825 0.2500 0.1254
0.6175 0.7500 0.8746
0.6648 0.7500 0.4248
0.9754 0.7500 0.1989
```



Computed, not measured: an optimized crystal structure of LiScPa2N4 at the PBE level of DFT.

Calculated values
**Calculated volume**: 13.775 Å³ per atom
**Energy relative to the elements, uncorrected**: -1.398 eV/atom
**Magnetization**: 0.0 μB per cell
**Space-group type**: P2/m, No. 10
**ρ**: 8.59 Mg/m³
**Crystal system**: monoclinic

Geometry as POSCAR:
```
LiScPa2N4
1.0
5.6148 0.0000 0.0000
0.0000 3.4811 0.0000
-2.1007 0.0000 5.6379
Li Sc Pa N
1 1 2 4
Direct
0.0000 0.0000 0.0000
0.0000 0.5000 0.5000
0.5000 0.0000 0.5000
0.5000 0.5000 0.0000
0.2535 0.0000 0.7479
0.2751 0.5000 0.2665
0.7249 0.5000 0.7335
0.7465 0.0000 0.2521
```



Computed, not measured: an optimized crystal structure of LiPaSeN at the PBE level of DFT.

Calculated values
**Calculated volume**: 17.913 Å³ per atom
**Energy relative to the elements, uncorrected**: -1.545 eV/atom
**Magnetization**: 0.0 μB per cell
**Space-group type**: R-3m, No. 166
**ρ**: 7.67 Mg/m³
**Crystal system**: trigonal

Geometry as POSCAR:
```
LiPaSeN
1.0
1.9880 1.1478 10.4671
-1.9880 1.1478 10.4671
0.0000 -2.2956 10.4671
Li Pa Se N
2 2 2 2
Direct
0.1945 0.1945 0.1945
0.8055 0.8055 0.8055
0.3765 0.3765 0.3765
0.6235 0.6235 0.6235
0.1098 0.1098 0.1098
0.8902 0.8902 0.8902
0.3067 0.3067 0.3067
0.6933 0.6933 0.6933
```



Computed, not measured: an optimized crystal structure of LiPa2Se2N2 at the PBE level of DFT.

Calculated values
**Calculated volume**: 18.010 Å³ per atom
**Energy relative to the elements, uncorrected**: -1.576 eV/atom
**Magnetization**: 1.1 μB per cell
**Space-group type**: C2/m, No. 12
**ρ**: 8.63 Mg/m³
**Crystal system**: monoclinic

Geometry as POSCAR:
```
LiPa2Se2N2
1.0
5.5303 -1.9072 0.0000
5.5303 1.9072 0.0000
-3.6917 0.0000 5.9765
Li Pa Se N
1 2 2 2
Direct
0.0000 0.0000 0.0000
0.1888 0.1888 0.7523
0.8112 0.8112 0.2477
0.4315 0.4315 0.6614
0.5685 0.5685 0.3386
0.2077 0.2077 0.0865
0.7923 0.7923 0.9135
```



Computed, not measured: an optimized crystal structure of Li2PaSeN2 at the PBE level of DFT.

Calculated values
**Calculated volume**: 15.805 Å³ per atom
**Energy relative to the elements, uncorrected**: -0.971 eV/atom
**Magnetization**: 0.0 μB per cell
**Space-group type**: P2_1/m, No. 11
**ρ**: 6.16 Mg/m³
**Crystal system**: monoclinic

Geometry as POSCAR:
```
Li2PaSeN2
1.0
5.7754 0.0000 0.0000
0.0000 4.9018 0.0000
-0.5547 0.0000 6.6993
Li Pa Se N
4 2 2 4
Direct
0.0470 0.2500 0.0471
0.1899 0.7500 0.6599
0.8101 0.2500 0.3401
0.9530 0.7500 0.9529
0.4614 0.7500 0.1796
0.5386 0.2500 0.8204
0.2671 0.2500 0.4100
0.7329 0.7500 0.5900
0.2727 0.5122 0.9281
0.2727 0.9878 0.9281
0.7273 0.0122 0.0719
0.7273 0.4878 0.0719
```



Computed, not measured: an optimized crystal structure of Li3Pa3SiN8 at the PBE level of DFT.

Calculated values
**Calculated volume**: 12.976 Å³ per atom
**Energy relative to the elements, uncorrected**: -0.795 eV/atom
**Magnetization**: 0.0 μB per cell
**Space-group type**: R-3m, No. 166
**ρ**: 7.29 Mg/m³
**Crystal system**: trigonal

Geometry as POSCAR:
```
Li3Pa3SiN8
1.0
3.3867 1.9553 4.8993
-3.3867 1.9553 4.8993
0.0000 -3.9106 4.8993
Li Pa Si N
3 3 1 8
Direct
0.0000 0.5000 0.5000
0.5000 0.0000 0.5000
0.5000 0.5000 0.0000
0.0000 0.0000 0.5000
0.0000 0.5000 0.0000
0.5000 0.0000 0.0000
0.5000 0.5000 0.5000
0.2384 0.2384 0.2384
0.2742 0.7159 0.7159
0.2841 0.2841 0.7258
0.2841 0.7258 0.2841
0.7159 0.2742 0.7159
0.7159 0.7159 0.2742
0.7258 0.2841 0.2841
0.7616 0.7616 0.7616
```



Computed, not measured: an optimized crystal structure of Li4Pa3SiN8 at the PBE level of DFT.

Calculated values
**Calculated volume**: 13.042 Å³ per atom
**Energy relative to the elements, uncorrected**: -0.915 eV/atom
**Magnetization**: 0.0 μB per cell
**Space-group type**: C2/m, No. 12
**ρ**: 6.85 Mg/m³
**Crystal system**: monoclinic

Geometry as POSCAR:
```
Li4Pa3SiN8
1.0
5.8467 -3.2356 0.0000
5.8467 3.2356 0.0000
-2.8723 0.0000 5.5151
Li Pa Si N
4 3 1 8
Direct
0.0000 0.0000 0.0000
0.0000 0.5000 0.5000
0.5000 0.0000 0.5000
0.5000 0.5000 0.0000
0.0000 0.0000 0.5000
0.0000 0.5000 0.0000
0.5000 0.0000 0.0000
0.5000 0.5000 0.5000
0.2072 0.2072 0.1912
0.2191 0.2191 0.7224
0.2689 0.6788 0.2724
0.3212 0.7311 0.7276
0.6788 0.2689 0.2724
0.7311 0.3212 0.7276
0.7809 0.7809 0.2776
0.7928 0.7928 0.8088
```



Calculated VASP energy in order - -6.85 -8.43 -8.97 -7.35 -7.94 -6.55 -7.88 -7.68 eV/atom